1.
A plane-wave DFT calculation with PBE was carried out for a geometry-optimized As2OsF structure.

Output
Formation energy from raw total energies, eV/atom: -0.08
Density of states at the Fermi level, states/eV/f.u.: 3.335
Space-group type: I-42d

Cell lengths 6.7285, 6.7285, 6.7285 Å; angles 130.71, 130.71, 72.27 degrees
Last column: nearest neighbours and their distance in Å.
Sites, in units of the cell vectors:
As 0.1073 0.6250 0.9823  2 Os 2.35, 2 F 2.46
As 0.3750 0.3573 0.4823  2 Os 2.35, 2 F 2.46
As 0.6427 0.1250 0.0177  2 Os 2.35, 2 F 2.46
As 0.8750 0.8927 0.5177  2 Os 2.35, 2 F 2.46
Os 0.0000 0.0000 0.0000  4 As 2.35
Os 0.7500 0.2500 0.5000  4 As 2.35
F 0.2500 0.7500 0.5000  4 As 2.46
F 0.5000 0.5000 0.0000  4 As 2.46

2.
A plane-wave DFT calculation with PBE was carried out for a geometry-optimized HgOsPb2 structure.

Output
Formation energy, kJ per mole of atoms: 61.66
Density of states at the Fermi level, states/eV/f.u.: 2.226
Space-group type: R3m

Cell lengths 10.8186, 10.8186, 10.8186 Å; angles 17.25, 17.25, 17.25 degrees
Last column: nearest neighbours and their distance in Å.
Sites, in units of the cell vectors:
Hg 0.0000 0.0000 0.0000  3 Os 2.89
Os 0.2646 0.2646 0.2646  3 Pb 2.84, 3 Hg 2.89
Pb 0.5313 0.5313 0.5313  3 Os 2.84
Pb 0.7533 0.7533 0.7533  6 Pb 3.24, 3 Hg 3.34

3.
A plane-wave DFT calculation with PBE was carried out for a geometry-optimized Ac3SnAs2Rh9 structure.

Output
Formation energy, kJ per mole of atoms: -46.83
Density of states at the Fermi level, states/eV/f.u.: 5.647
Space-group type: P-3m1

Cell lengths 6.3410, 6.3410, 9.4534 Å; angles 90.00, 90.00, 120.00 degrees
Last column: nearest neighbours and their distance in Å.
Sites, in units of the cell vectors:
Ac 0.0000 0.0000 0.0000  12 Rh 3.05-3.17
Ac 0.3333 0.6667 0.6947  9 Rh 3.19-3.42
Ac 0.6667 0.3333 0.3053  9 Rh 3.19-3.42
Sn 0.0000 0.0000 0.5000  6 Rh 2.65
As 0.3333 0.6667 0.1649  6 Rh 2.32-2.40
As 0.6667 0.3333 0.8351  6 Rh 2.32-2.40
Rh 0.0000 0.5000 0.0000  2 As 2.40
Rh 0.1449 0.2899 0.2756  1 As 2.32
Rh 0.1449 0.8551 0.2756  1 As 2.32
Rh 0.2899 0.1449 0.7244  1 As 2.32
Rh 0.5000 0.0000 0.0000  2 As 2.40
Rh 0.5000 0.5000 0.0000  2 As 2.40
Rh 0.7101 0.8551 0.2756  1 As 2.32
Rh 0.8551 0.1449 0.7244  1 As 2.32
Rh 0.8551 0.7101 0.7244  1 As 2.32

4.
A plane-wave DFT calculation with PBE was carried out for a geometry-optimized Mg4Si7 structure.

Output
Formation energy from raw total energies, eV/atom: 0.12
Density of states at the Fermi level, states/eV/f.u.: 3.486
Space-group type: Pm

Cell lengths 7.1322, 3.9018, 14.2231 Å; angles 90.00, 93.18, 90.00 degrees
Last column: nearest neighbours and their distance in Å.
Sites, in units of the cell vectors:
Mg 0.0000 0.0000 0.0000  4 Si 2.74-2.90
Mg 0.0151 0.5000 0.5734  7 Si 2.62-2.90
Mg 0.2225 0.5000 0.1602  4 Si 2.80-2.89
Mg 0.3983 0.5000 0.7554  7 Si 2.76-2.95
Mg 0.4266 0.0000 0.3157  5 Si 2.74-3.01
Mg 0.4468 0.5000 0.5001  10 Si 2.88-3.05
Mg 0.5434 0.0000 0.0833  7 Si 2.73-2.89
Mg 0.9131 0.0000 0.2396  8 Si 2.77-3.04
Si 0.0568 0.0000 0.7454  3 Si 2.47-2.51
Si 0.0780 0.5000 0.8561  4 Si 2.38-2.51
Si 0.1179 0.5000 0.3538  3 Si 2.43-2.61
Si 0.1573 0.0000 0.4546  3 Si 2.43-2.45
Si 0.2811 0.0000 0.6187  3 Si 2.44-2.47
Si 0.3320 0.5000 0.9717  1 Si 2.38
Si 0.5304 0.0000 0.8914  4 Si 2.49-2.70, 1 Mg 2.73
Si 0.6100 0.5000 0.2216  2 Si 2.40-2.42
Si 0.6241 0.0000 0.6330  4 Si 2.44-2.46
Si 0.7448 0.5000 0.8786  4 Si 2.42-2.49
Si 0.7578 0.5000 0.3793  4 Si 2.42-2.61
Si 0.7679 0.0000 0.4800  3 Si 2.42-2.46
Si 0.7781 0.5000 0.7078  3 Si 2.45, 1 Mg 2.62
Si 0.8393 0.5000 0.1044  1 Si 2.40

5.
A plane-wave DFT calculation with PBE was carried out for a geometry-optimized CePmMgSb structure.

Output
Formation energy from raw total energies, eV/atom: -0.41
Density of states at the Fermi level, states/eV/f.u.: 9.584
Space-group type: F-43m

Cell lengths 5.4170, 5.4170, 5.4170 Å; angles 60.00, 60.00, 60.00 degrees
Last column: nearest neighbours and their distance in Å.
Sites, in units of the cell vectors:
Ce 0.0000 0.0000 0.0000  4 Sb 3.32, 4 Mg 3.32
Pm 0.5000 0.5000 0.5000  4 Sb 3.32, 4 Mg 3.32
Mg 0.2500 0.2500 0.2500  4 Ce 3.32, 4 Pm 3.32
Sb 0.7500 0.7500 0.7500  4 Ce 3.32, 4 Pm 3.32

6.
A plane-wave DFT calculation with PBE was carried out for a geometry-optimized KNpNiSe3 structure.

Output
Formation energy from raw total energies, eV/atom: -0.98
Density of states at the Fermi level, states/eV/f.u.: 11.473
Space-group type: P2_1/m

Cell lengths 9.1291, 4.0494, 9.4603 Å; angles 90.00, 109.02, 90.00 degrees
Last column: nearest neighbours and their distance in Å.
Sites, in units of the cell vectors:
K 0.2011 0.2500 0.2404  7 Se 3.38-3.48
K 0.7989 0.7500 0.7596  7 Se 3.38-3.48
Np 0.3185 0.7500 0.8388  6 Se 2.77-2.88
Np 0.6815 0.2500 0.1612  6 Se 2.77-2.88
Ni 0.0807 0.2500 0.5876  4 Se 2.39-2.44
Ni 0.9193 0.7500 0.4124  4 Se 2.39-2.44
Se 0.1136 0.2500 0.8543  1 Ni 2.44
Se 0.1946 0.7500 0.5295  3 Ni 2.39-2.42
Se 0.4590 0.7500 0.1592  3 Np 2.86-2.88
Se 0.5410 0.2500 0.8408  3 Np 2.86-2.88
Se 0.8054 0.2500 0.4705  3 Ni 2.39-2.42
Se 0.8864 0.7500 0.1457  1 Ni 2.44

7.
A plane-wave DFT calculation with PBE was carried out for a geometry-optimized LiCoCu3 structure.

Output
Formation energy, kJ per mole of atoms: 70.35
Density of states at the Fermi level, states/eV/f.u.: 7.459
Space-group type: Pm-3m

Cell lengths 4.4544, 4.4544, 4.4544 Å; angles 90.00, 90.00, 90.00 degrees
Last column: nearest neighbours and their distance in Å.
Sites, in units of the cell vectors:
Li 0.0000 0.0000 0.0000  12 Cu 3.15
Co 0.5000 0.5000 0.5000  6 Cu 2.23
Cu 0.0000 0.5000 0.5000  2 Co 2.23
Cu 0.5000 0.0000 0.5000  2 Co 2.23
Cu 0.5000 0.5000 0.0000  2 Co 2.23

8.
A plane-wave DFT calculation with PBE was carried out for a geometry-optimized Pm4Co2Cu structure.

Output
Formation energy, kJ per mole of atoms: -7.76
Density of states at the Fermi level, states/eV/f.u.: 6.240
Space-group type: Cm

Cell lengths 7.0969, 7.0969, 7.4674 Å; angles 105.76, 105.76, 75.62 degrees
Last column: nearest neighbours and their distance in Å.
Sites, in units of the cell vectors:
Pm 0.0000 0.0000 0.0000  2 Cu 2.88-3.06, 3 Co 2.88-2.93
Pm 0.0023 0.0023 0.5153  3 Co 2.87-2.91, 2 Cu 2.89-3.00
Pm 0.4573 0.9841 0.8689  4 Co 2.85-3.02, 2 Cu 3.02-3.07
Pm 0.4668 0.9988 0.3753  3 Co 2.77-2.85, 2 Cu 3.00-3.01
Pm 0.4891 0.4891 0.9923  4 Co 2.85-2.99, 1 Cu 3.05
Pm 0.4984 0.4984 0.5173  4 Co 2.89-2.99, 1 Cu 3.05
Pm 0.9841 0.4573 0.8689  4 Co 2.85-3.02, 2 Cu 3.02-3.07
Pm 0.9988 0.4668 0.3753  3 Co 2.77-2.85, 2 Cu 3.00-3.01
Co 0.1871 0.6949 0.7245  1 Cu 2.68, 1 Co 2.79, 6 Pm 2.85-2.95
Co 0.2779 0.2779 0.1502  7 Pm 2.79-2.99
Co 0.2788 0.2788 0.6427  7 Pm 2.77-2.92, 2 Co 2.79
Co 0.6949 0.1871 0.7245  1 Cu 2.68, 1 Co 2.79, 6 Pm 2.85-2.95
Cu 0.7785 0.7785 0.1501  7 Pm 3.00-3.06
Cu 0.7882 0.7882 0.6472  2 Co 2.68, 4 Pm 2.88-3.00